## Cs2ErVS4 (PBE)

Data for an optimized crystal structure of Cs2ErVS4.

```
data_Cs2ErVS4
_chemical_formula_sum 'Cs16 Er8 V8 S32'
_cell_length_a 6.3150
_cell_length_b 14.6337
_cell_length_c 25.6631
_cell_angle_alpha 90.00
_cell_angle_beta 90.00
_cell_angle_gamma 90.00
_space_group_name_H-M_alt 'F d d d'
_space_group_IT_number 70
loop_
_space_group_symop_operation_xyz
'x,y,z'
'-x,-y,-z'
'-x+1/4,-y+1/4,z'
'x+1/4,y+1/4,-z'
'x,-y+1/4,-z+1/4'
'-x,y+1/4,z+1/4'
'-x+1/4,y,-z+1/4'
'x+1/4,-y,z+1/4'
'x,y+1/2,z+1/2'
'-x,-y+1/2,-z+1/2'
'-x+1/4,-y+3/4,z+1/2'
'x+1/4,y+3/4,-z+1/2'
'x,-y+3/4,-z+3/4'
'-x,y+3/4,z+3/4'
'-x+1/4,y+1/2,-z+3/4'
'x+1/4,-y+1/2,z+3/4'
'x+1/2,y,z+1/2'
'-x+1/2,-y,-z+1/2'
'-x+3/4,-y+1/4,z+1/2'
'x+3/4,y+1/4,-z+1/2'
'x+1/2,-y+1/4,-z+3/4'
'-x+1/2,y+1/4,z+3/4'
'-x+3/4,y,-z+3/4'
'x+3/4,-y,z+3/4'
'x+1/2,y+1/2,z'
'-x+1/2,-y+1/2,-z'
'-x+3/4,-y+3/4,z'
'x+3/4,y+3/4,-z'
'x+1/2,-y+3/4,-z+1/4'
'-x+1/2,y+3/4,z+1/4'
'-x+3/4,y+1/2,-z+1/4'
'x+3/4,-y+1/2,z+1/4'
loop_
_atom_site_label
_atom_site_fract_x
_atom_site_fract_y
_atom_site_fract_z
Cs1 0.1250 0.1250 0.3039
Er1 0.1250 0.1250 0.1250
V1 0.1250 0.1250 0.6250
S1 0.0942 0.2808 0.8269
```

## Properties
ρ	3.4	g/cm³
ΔE_f (raw)	-1272	meV per atom
total magnetic moment	16.0	μB/cell